1.
Computed, not measured: a geometry-optimized TaB2HPb structure at the PBE level of DFT. Values from VASP.

Properties
**Spin magnetization**: 0.00 μB/f.u.
**SG**: P4/mmm, No. 123

Cell and atoms, written as Quantum ESPRESSO input:
```
&SYSTEM
  ibrav = 0, nat = 5, ntyp = 4
/
ATOMIC_SPECIES
Pb 207.20 Pb.upf
H 1.01 H.upf
B 10.81 B.upf
Ta 180.95 Ta.upf
CELL_PARAMETERS angstrom
-3.9307 0.0292 -1.9507
-0.8353 -5.2742 1.6042
-1.8368 1.4232 3.7225
ATOMIC_POSITIONS angstrom
Pb 0.0000 0.0000 0.0000
H -3.3014 -1.9109 1.6880
B -0.9184 0.7116 1.8613
B -1.9654 0.0146 -0.9754
Ta -0.4176 -2.6371 0.8021
```

---

2.
Computed, not measured: a geometry-optimized TaBH2Pb structure at the PBE level of DFT. Values from VASP.

Properties
**Spin magnetization**: 1.22 μB/f.u.
**SG**: P4/mmm, No. 123

Cell and atoms, written as Quantum ESPRESSO input:
```
&SYSTEM
  ibrav = 0, nat = 5, ntyp = 4
/
ATOMIC_SPECIES
Pb 207.20 Pb.upf
H 1.01 H.upf
B 10.81 B.upf
Ta 180.95 Ta.upf
CELL_PARAMETERS angstrom
3.8294 0.0000 0.0000
0.0000 5.3773 0.0000
0.0000 0.0000 3.8294
ATOMIC_POSITIONS angstrom
Pb 0.0000 2.6887 0.0000
H 0.0000 0.0000 1.9147
H 1.9147 0.0000 0.0000
B 0.0000 0.0000 0.0000
Ta 1.9147 2.6887 1.9147
```

---

3.
Computed, not measured: a geometry-optimized B2TeHPb structure at the PBE level of DFT. Values from VASP.

Properties
**Spin magnetization**: 0.00 μB/f.u.
**SG**: P4/mmm, No. 123

Cell and atoms, written as Quantum ESPRESSO input:
```
&SYSTEM
  ibrav = 0, nat = 5, ntyp = 4
/
ATOMIC_SPECIES
Pb 207.20 Pb.upf
H 1.01 H.upf
B 10.81 B.upf
Te 127.60 Te.upf
CELL_PARAMETERS angstrom
-0.7460 0.7205 -4.6454
0.2846 -3.7674 -0.6300
-4.6876 -0.4678 0.6803
ATOMIC_POSITIONS angstrom
Pb 0.0000 0.0000 0.0000
H 0.1423 -1.8837 -0.3150
B -2.3438 -0.2339 0.3401
B -0.3730 0.3602 -2.3227
Te -2.5745 -1.7574 -2.2976
```

---

4.
Computed, not measured: a geometry-optimized BTe2HPb structure at the PBE level of DFT. Values from VASP.

Properties
**Spin magnetization**: 0.00 μB/f.u.
**SG**: P4/mmm, No. 123

Cell and atoms, written as Quantum ESPRESSO input:
```
&SYSTEM
  ibrav = 0, nat = 5, ntyp = 4
/
ATOMIC_SPECIES
Pb 207.20 Pb.upf
H 1.01 H.upf
B 10.81 B.upf
Te 127.60 Te.upf
CELL_PARAMETERS angstrom
-4.4970 -0.1825 1.4294
-0.2983 -5.3321 -1.6193
1.4187 -1.3813 4.2870
ATOMIC_POSITIONS angstrom
Pb -0.1492 -2.6660 -0.8097
H -1.6883 -3.4479 2.0486
B 0.0000 0.0000 0.0000
Te 0.7094 -0.6907 2.1435
Te -2.2485 -0.0912 0.7147
```

---

5.
Computed, not measured: a geometry-optimized BHPb2W structure at the PBE level of DFT. Values from VASP.

Properties
**Spin magnetization**: 0.00 μB/f.u.
**SG**: P4/mmm, No. 123

Cell and atoms, written as Quantum ESPRESSO input:
```
&SYSTEM
  ibrav = 0, nat = 5, ntyp = 4
/
ATOMIC_SPECIES
Pb 207.20 Pb.upf
H 1.01 H.upf
B 10.81 B.upf
W 183.84 W.upf
CELL_PARAMETERS angstrom
4.9537 0.0000 0.0000
0.0000 3.5268 0.0000
0.0000 0.0000 4.9537
ATOMIC_POSITIONS angstrom
Pb 0.0000 0.0000 2.4769
Pb 2.4769 0.0000 0.0000
H 0.0000 0.0000 0.0000
B 2.4769 1.7634 2.4769
W 0.0000 1.7634 0.0000
```

---

6.
Computed, not measured: a geometry-optimized ZnBHPb2 structure at the PBE level of DFT. Values from VASP.

Properties
**Spin magnetization**: 0.00 μB/f.u.
**SG**: P4/mmm, No. 123

Cell and atoms, written as Quantum ESPRESSO input:
```
&SYSTEM
  ibrav = 0, nat = 5, ntyp = 4
/
ATOMIC_SPECIES
Pb 207.20 Pb.upf
H 1.01 H.upf
Zn 65.41 Zn.upf
B 10.81 B.upf
CELL_PARAMETERS angstrom
5.3713 0.0000 0.0000
0.0000 3.0898 0.0000
0.0000 0.0000 5.3713
ATOMIC_POSITIONS angstrom
Pb 0.0000 0.0000 2.6857
Pb 2.6857 0.0000 0.0000
H 0.0000 1.5449 0.0000
Zn 2.6857 1.5449 2.6857
B 0.0000 0.0000 0.0000
```

---

no.,DFT total energy (eV/atom)
1,-3.43
2,-4.05
3,-3.23
4,-3.05
5,-4.71
6,-3.14